(1)
Entry from Alexandria: a PBEsol-optimized structure of Er5NiPb3 (SCAN).

Geometry as POSCAR:
```
Er5NiPb3
1.0
-3.839 0.810 5.195
-7.202 0.021 -5.326
3.013 -7.707 3.428
Er Pb Ni
10 6 2
Direct
0.250 0.000 0.761
0.500 0.333 0.667
0.500 0.667 0.333
0.750 0.239 0.000
0.750 0.000 0.239
0.750 0.761 0.761
0.250 0.761 0.000
0.250 0.239 0.239
0.000 0.667 0.333
0.000 0.333 0.667
0.250 0.399 0.000
0.250 0.601 0.601
0.750 0.399 0.399
0.750 0.601 0.000
0.750 0.000 0.601
0.250 0.000 0.399
0.000 0.000 0.000
0.500 0.000 0.000
```

Calculated values
As for the space group: P6_3/mcm, No. 193. The total magnetization comes out at 0.00 μB/cell. Its energy of formation is -6.3 eV/f.u. The crystal system is hexagonal.

---

(2)
Entry from Alexandria: a PBEsol-optimized structure of Mg2TcOs (SCAN).

Geometry as POSCAR:
```
Mg2TcOs
1.0
2.969 0.000 0.000
0.000 2.969 0.000
0.000 0.000 7.346
Tc Mg Os
1 2 1
Direct
0.500 0.500 0.725
0.000 0.000 0.972
0.500 0.500 0.281
0.000 0.000 0.522
```

Calculated values
As for the space group: P4mm, No. 99. The total magnetization comes out at 0.03 μB/cell. Its energy of formation is -0.1 eV/f.u. The crystal system is tetragonal.

---

(3)
Entry from Alexandria: a PBEsol-optimized structure of Al2FeBiH (SCAN).

Geometry as POSCAR:
```
Al2FeBiH
1.0
4.496 0.000 0.000
0.000 4.496 0.000
0.000 0.000 4.780
Fe Al H Bi
1 2 1 1
Direct
0.000 0.000 0.000
0.000 0.500 0.000
0.500 0.000 0.000
0.500 0.500 0.500
0.000 0.000 0.500
```

Calculated values
The calculated total energy comes out at -113.10 eV/f.u. As for the space group: P4/mmm, No. 123. The total magnetization comes out at 0.00 μB/cell. The crystal system is tetragonal.

---

(4)
Entry from Alexandria: a PBEsol-optimized structure of MnCu2Ag (SCAN).

Geometry as POSCAR:
```
MnCu2Ag
1.0
-1.948 1.799 0.050
-1.146 0.778 -2.262
-6.809 -5.418 0.032
Cu Ag Mn
2 1 1
Direct
0.754 0.754 0.737
0.246 0.246 0.263
0.000 0.000 0.000
0.500 0.500 0.500
```

Calculated values
As for the space group: R-3m, No. 166. The total magnetization comes out at 3.86 μB/cell. Its energy of formation is 0.5 eV/f.u. The crystal system is trigonal.

---

(5)
Entry from Alexandria: a PBEsol-optimized structure of Ba4Sr3 (SCAN).

Geometry as POSCAR:
```
Ba4Sr3
1.0
7.758 0.000 0.000
-3.879 6.719 0.000
0.000 0.000 7.815
Ba Sr
4 3
Direct
0.333 0.667 0.500
0.000 0.000 0.745
0.000 0.000 0.255
0.667 0.333 0.500
0.500 0.000 0.000
0.500 0.500 0.000
0.000 0.500 0.000
```

Calculated values
As for the space group: P6/mmm, No. 191. The total magnetization comes out at 0.02 μB/cell. Its energy of formation is 0.5 eV/f.u. The crystal system is hexagonal.

---

(6)
Entry from Alexandria: a PBEsol-optimized structure of KPtPb2W (SCAN).

Geometry as POSCAR:
```
KPtPb2W
1.0
-0.895 4.193 -2.228
-4.399 0.769 3.214
3.144 2.624 3.675
K Pb Pt W
1 2 1 1
Direct
0.000 0.000 0.000
0.000 0.500 0.000
0.000 0.000 0.500
0.500 0.000 0.000
0.500 0.500 0.500
```

Calculated values
As for the space group: P4/mmm, No. 123. The total magnetization comes out at 3.81 μB/cell. Its energy of formation is 12.1 eV/f.u. The crystal system is tetragonal.

---

(7)
Entry from Alexandria: a PBEsol-optimized structure of TiTc3O (SCAN).

Geometry as POSCAR:
```
TiTc3O
1.0
-0.542 -0.890 4.316
4.385 -0.547 0.437
0.444 4.316 0.946
Tc O Ti
3 1 1
Direct
0.000 0.000 0.500
0.000 0.500 0.000
0.500 0.000 0.000
0.500 0.500 0.500
0.000 0.000 0.000
```

Calculated values
The calculated total energy comes out at -116.65 eV/f.u. As for the space group: Pm-3m, No. 221. The total magnetization comes out at 5.32 μB/cell. The crystal system is cubic.

---

(8)
Entry from Alexandria: a PBEsol-optimized structure of HgAsPb2 (SCAN).

Geometry as POSCAR:
```
HgAsPb2
1.0
4.094 0.000 0.000
2.047 3.546 0.000
2.047 1.182 7.566
Pb Hg As
2 1 1
Direct
0.258 0.258 0.226
0.742 0.742 0.774
0.500 0.500 0.500
0.000 0.000 0.000
```

Calculated values
As for the space group: R-3m, No. 166. The total magnetization comes out at 0.00 μB/cell. Its energy of formation is 0.0 eV/f.u. The crystal system is trigonal.